Here is a relaxed Zr2CuOs crystal from OQMD via LeMat-Bulk. Energies are from GGA-PBE.

The structure in POSCAR format:
```
Zr2CuOs
1.0
4.642 0.000 0.000
0.000 6.562 0.000
0.000 0.000 4.644
Zr Cu Os
4 2 2
direct
0.250 0.000 0.249
0.250 0.500 0.249
0.750 0.000 0.751
0.750 0.500 0.751
0.250 0.250 0.746
0.750 0.750 0.254
0.250 0.750 0.749
0.750 0.250 0.251
```

Formation enthalpy at 0 K: -343 meV/atom
Calculated total energy: -0.614 Ry/atom